(1)
Below is crystalline NaCaTa at its relaxed geometry, with properties calculated at the GGA-PBE level.

```
NaCaTa
1.0
2.960 -5.844 0.000
2.960 5.844 0.000
0.000 0.000 4.792
Na Ca Ta
2 2 2
direct
0.069 0.931 0.750
0.931 0.069 0.250
0.266 0.734 0.250
0.734 0.266 0.750
0.461 0.539 0.750
0.539 0.461 0.250
```

Summary:
Symmetry: Cmcm (63)
Energy relative to the lowest polymorph listed for this composition (meV per atom): 480.4

=====

(2)
Below is crystalline NaCaTa at its relaxed geometry, with properties calculated at the GGA-PBE level.

```
NaCaTa
1.0
5.672 -2.272 0.000
5.672 2.272 0.000
-1.104 0.000 7.073
Na Ca Ta
2 2 2
direct
0.000 0.000 0.000
0.690 0.690 0.939
0.338 0.338 0.688
0.602 0.602 0.399
0.310 0.310 0.242
0.882 0.882 0.368
```

Summary:
Symmetry: Cm (8)
Energy relative to the lowest polymorph listed for this composition (meV per atom): 483.6

=====

(3)
Below is crystalline NaCaTa at its relaxed geometry, with properties calculated at the GGA-PBE level.

```
NaCaTa
1.0
5.561 0.000 0.000
-2.781 4.816 0.000
0.000 0.000 6.295
Na Ca Ta
2 2 2
direct
0.000 0.000 0.000
0.000 0.000 0.500
0.333 0.667 0.250
0.667 0.333 0.750
0.333 0.667 0.750
0.667 0.333 0.250
```

Summary:
Symmetry: P6_3/mmc (194)
Energy relative to the lowest polymorph listed for this composition (meV per atom): 1092.7